First-principles (PBE-GGA) data for crystalline InIr at its relaxed geometry, as listed in the Alexandria database.

Computed properties:
Energy relative to the elements, eV/f.u.: 0.6
Mass density, Mg/m³: 14.03
Fermi-level density of states, states/eV per cell: 4.843

Unit cell a=9.2738 b=9.2738 c=9.2738 alpha=18.84 beta=18.84 gamma=18.84
With the nearest neighbours (Å) after each atom.
Sites, in units of the cell vectors:
In (0.9928, 0.9928, 0.9928)  3 Ir 2.79, 6 In 3.04
Ir (0.5032, 0.5032, 0.5032)  9 Ir 2.74-3.04, 3 In 2.79
In (0.7572, 0.7572, 0.7572)  3 Ir 2.79, 6 In 3.04
Ir (0.2468, 0.2468, 0.2468)  9 Ir 2.74-3.04, 3 In 2.79

=====

First-principles (PBE-GGA) data for crystalline Tb3CePm2Se6 at its relaxed geometry, as listed in the Alexandria database.

Computed properties:
Total energy, eV/atom: -5.993
Mass density, Mg/m³: 7.57
Fermi-level density of states, states/eV per cell: 10.872

Unit cell a=4.1208 b=8.3588 c=9.2861 alpha=103.51 beta=102.82 gamma=90.00
With the nearest neighbours (Å) after each atom.
Sites, in units of the cell vectors:
Tb (0.1671, 0.8344, 0.3341)  6 Se 2.88-2.90
Tb (0.8329, 0.1656, 0.6659)  6 Se 2.88-2.90
Se (0.0024, 0.7442, 0.0048)  3 Tb 2.89-2.90, 1 Pm 2.96, 2 Ce 2.98
Pm (0.1659, 0.3315, 0.3318)  6 Se 2.96-2.98
Se (0.3349, 0.4115, 0.6698)  3 Tb 2.90, 3 Pm 2.97-2.98
Se (0.6689, 0.0781, 0.3378)  3 Tb 2.88-2.89, 2 Pm 2.96, 1 Ce 2.97
Se (0.3311, 0.9219, 0.6622)  3 Tb 2.88-2.89, 2 Pm 2.96, 1 Ce 2.97
Pm (0.8341, 0.6685, 0.6682)  6 Se 2.96-2.98
Tb (0.5000, 0.5000, 0.0000)  6 Se 2.89-2.90
Se (0.6651, 0.5885, 0.3302)  3 Tb 2.90, 3 Pm 2.97-2.98
Ce (0.5000, 0.0000, 0.0000)  6 Se 2.97-2.98
Se (0.9976, 0.2558, 0.9952)  3 Tb 2.89-2.90, 1 Pm 2.96, 2 Ce 2.98

=====

First-principles (PBE-GGA) data for crystalline Sc2GaB2Ir5 at its relaxed geometry, as listed in the Alexandria database.

Computed properties:
Energy relative to the elements, eV/f.u.: -8.3
Mass density, Mg/m³: 13.92
Fermi-level density of states, states/eV per cell: 4.966

Unit cell a=9.4139 b=9.4139 c=3.0764 alpha=90.00 beta=90.00 gamma=90.00
With the nearest neighbours (Å) after each atom.
Sites, in units of the cell vectors:
Ir (0.5000, 0.0000, 0.5000)  4 B 2.26
B (0.1239, 0.6239, 0.0000)  6 Ir 2.21-2.26
Ga (0.5000, 0.5000, 0.0000)  8 Ir 2.64
Sc (0.3242, 0.8242, 0.0000)  3 B 2.67-2.86, 10 Ir 2.80-2.96
Ir (0.7836, 0.9297, 0.5000)  2 B 2.21
Sc (0.8242, 0.6758, 0.0000)  3 B 2.67-2.86, 10 Ir 2.80-2.96
Sc (0.1758, 0.3242, 0.0000)  3 B 2.67-2.86, 10 Ir 2.80-2.96
B (0.8761, 0.3761, 0.0000)  6 Ir 2.21-2.26
Ir (0.2164, 0.0703, 0.5000)  2 B 2.21
Sc (0.6758, 0.1758, 0.0000)  3 B 2.67-2.86, 10 Ir 2.80-2.96
Ga (0.0000, 0.0000, 0.0000)  8 Ir 2.64
Ir (0.0000, 0.5000, 0.5000)  4 B 2.26
Ir (0.2836, 0.5703, 0.5000)  2 B 2.21
Ir (0.5703, 0.7164, 0.5000)  2 B 2.21
Ir (0.9297, 0.2164, 0.5000)  2 B 2.21
B (0.6239, 0.8761, 0.0000)  6 Ir 2.21-2.26
B (0.3761, 0.1239, 0.0000)  6 Ir 2.21-2.26
Ir (0.4297, 0.2836, 0.5000)  2 B 2.21
Ir (0.0703, 0.7836, 0.5000)  2 B 2.21
Ir (0.7164, 0.4297, 0.5000)  2 B 2.21

=====

First-principles (PBE-GGA) data for crystalline Mg3NbSi at its relaxed geometry, as listed in the Alexandria database.

Computed properties:
Total energy, eV/atom: -2.614
Mass density, Mg/m³: 2.14
Fermi-level density of states, states/eV per cell: 3.613

Unit cell a=5.3179 b=5.3179 c=5.3179 alpha=90.00 beta=90.00 gamma=90.00
With the nearest neighbours (Å) after each atom.
Sites, in units of the cell vectors:
Nb (0.0000, 0.0000, 0.0000)  6 Mg 2.66
Mg (0.0000, 0.5000, 0.0000)  2 Nb 2.66
Mg (0.5000, 0.0000, 0.0000)  2 Nb 2.66
Mg (0.0000, 0.0000, 0.5000)  2 Nb 2.66
Si (0.5000, 0.5000, 0.5000)  12 Mg 3.76

=====

First-principles (PBE-GGA) data for crystalline NaTiCoS2 at its relaxed geometry, as listed in the Alexandria database.

Computed properties:
Total energy, eV/atom: -5.125
Mass density, Mg/m³: 3.13
Fermi-level density of states, states/eV per cell: 1.851

Unit cell a=4.7726 b=4.5162 c=4.7726 alpha=90.00 beta=90.00 gamma=90.00
With the nearest neighbours (Å) after each atom.
Sites, in units of the cell vectors:
S (0.5000, 0.0000, 0.0000)  2 Ti 2.39
Co (0.0000, 0.5000, 0.0000)  2 Ti 2.26
S (0.0000, 0.0000, 0.5000)  2 Ti 2.39
Na (0.5000, 0.5000, 0.5000)  8 S 3.29, 4 Co 3.37
Ti (0.0000, 0.0000, 0.0000)  2 Co 2.26, 4 S 2.39

=====

First-principles (PBE-GGA) data for crystalline Nb3SnOs at its relaxed geometry, as listed in the Alexandria database.

Computed properties:
Energy relative to the elements, eV/f.u.: 4.0
Mass density, Mg/m³: 8.42
Fermi-level density of states, states/eV per cell: 5.947

Unit cell a=4.8748 b=4.8748 c=4.8748 alpha=90.00 beta=90.00 gamma=90.00
With the nearest neighbours (Å) after each atom.
Sites, in units of the cell vectors:
Os (0.0000, 0.0000, 0.0000)  6 Nb 2.44
Nb (0.5000, 0.0000, 0.0000)  2 Os 2.44
Sn (0.5000, 0.5000, 0.5000)  12 Nb 3.45
Nb (0.0000, 0.5000, 0.0000)  2 Os 2.44
Nb (0.0000, 0.0000, 0.5000)  2 Os 2.44